Compound: TiFeTe2C
Source: Alexandria
Functional: PBE-GGA
Structure: optimized geometry

Values from the calculation:
**Volume**: 20.81 Å³/atom
**Raw formation energy**: 1.53 eV per atom
**SG**: No. 123

```
data_TiFeTe2C
_chemical_formula_sum 'Ti1 Fe1 Te2 C1'
_space_group_name_H-M_alt 'P 1'
_space_group_IT_number 1
_cell_length_a 4.8739
_cell_length_b 4.3812
_cell_length_c 4.8739
_cell_angle_alpha 90.00
_cell_angle_beta 90.00
_cell_angle_gamma 90.00
loop_
_space_group_symop_operation_xyz
'x,y,z'
loop_
_atom_site_label
_atom_site_fract_x
_atom_site_fract_y
_atom_site_fract_z
C1 0.5000 0.5000 0.5000
Te1 0.0000 0.0000 0.5000
Te2 0.5000 0.0000 0.0000
Fe1 0.0000 0.0000 0.0000
Ti1 0.0000 0.5000 0.0000
```



Compound: ThFe3C
Source: Alexandria
Functional: PBE-GGA
Structure: optimized geometry

Values from the calculation:
**ΔH_f (0 K)**: -0.02 eV/atom
**Volume**: 12.69 Å³/atom
**SG**: No. 221

```
data_ThFe3C
_chemical_formula_sum 'Th1 Fe3 C1'
_space_group_name_H-M_alt 'P 1'
_space_group_IT_number 1
_cell_length_a 3.9888
_cell_length_b 3.9888
_cell_length_c 3.9888
_cell_angle_alpha 90.00
_cell_angle_beta 90.00
_cell_angle_gamma 90.00
loop_
_space_group_symop_operation_xyz
'x,y,z'
loop_
_atom_site_label
_atom_site_fract_x
_atom_site_fract_y
_atom_site_fract_z
C1 0.0000 0.0000 0.0000
Fe1 0.0000 0.5000 0.0000
Fe2 0.0000 0.0000 0.5000
Fe3 0.5000 0.0000 0.0000
Th1 0.5000 0.5000 0.5000
```



Compound: ThFe2C3
Source: Alexandria
Functional: PBE-GGA
Structure: optimized geometry

Values from the calculation:
**ΔH_f (0 K)**: -0.11 eV/atom
**Volume**: 11.98 Å³/atom
**SG**: No. 63

```
data_ThFe2C3
_chemical_formula_sum 'Th2 Fe4 C6'
_space_group_name_H-M_alt 'P 1'
_space_group_IT_number 1
_cell_length_a 4.8595
_cell_length_b 6.5398
_cell_length_c 5.5803
_cell_angle_alpha 125.87
_cell_angle_beta 90.00
_cell_angle_gamma 90.00
loop_
_space_group_symop_operation_xyz
'x,y,z'
loop_
_atom_site_label
_atom_site_fract_x
_atom_site_fract_y
_atom_site_fract_z
Th1 0.7500 0.2898 0.5796
Th2 0.2500 0.7102 0.4204
Fe1 0.5000 0.1885 0.0000
Fe2 0.5000 0.8115 0.0000
Fe3 0.0000 0.8115 0.0000
Fe4 0.0000 0.1885 0.0000
C1 0.2500 0.5305 0.8476
C2 0.7500 0.4695 0.1524
C3 0.7500 0.6830 0.1524
C4 0.2500 0.3170 0.8476
C5 0.2500 0.0842 0.1683
C6 0.7500 0.9158 0.8317
```



Compound: Th2FeC4
Source: Alexandria
Functional: PBE-GGA
Structure: optimized geometry

Values from the calculation:
**ΔH_f (0 K)**: -0.22 eV/atom
**Volume**: 14.28 Å³/atom
**SG**: No. 72

```
data_Th2FeC4
_chemical_formula_sum 'Th4 Fe2 C8'
_space_group_name_H-M_alt 'P 1'
_space_group_IT_number 1
_cell_length_a 5.2499
_cell_length_b 6.8753
_cell_length_c 6.8753
_cell_angle_alpha 64.57
_cell_angle_beta 67.56
_cell_angle_gamma 67.56
loop_
_space_group_symop_operation_xyz
'x,y,z'
loop_
_atom_site_label
_atom_site_fract_x
_atom_site_fract_y
_atom_site_fract_z
C1 0.1304 0.2084 0.5309
C2 0.8696 0.7916 0.4691
C3 0.6304 0.5309 0.2084
C4 0.3696 0.4691 0.7916
C5 0.0833 0.0760 0.7574
C6 0.9167 0.9240 0.2426
C7 0.5833 0.7574 0.0760
C8 0.4167 0.2426 0.9240
Fe1 0.2500 0.0000 0.0000
Fe2 0.7500 0.0000 0.0000
Th1 0.3599 0.8175 0.4626
Th2 0.6401 0.1825 0.5374
Th3 0.8599 0.4626 0.8175
Th4 0.1401 0.5374 0.1825
```



Which of these has the lowest volume?
ThFe2C3



Number 4 is which compound?
Th2FeC4



Among the records above, which one has the lowest volume?
ThFe2C3



Please write out number 2 again, unchanged.
Compound: ThFe3C
Source: Alexandria
Functional: PBE-GGA
Structure: optimized geometry

Values from the calculation:
**ΔH_f (0 K)**: -0.02 eV/atom
**Volume**: 12.69 Å³/atom
**SG**: No. 221

```
data_ThFe3C
_chemical_formula_sum 'Th1 Fe3 C1'
_space_group_name_H-M_alt 'P 1'
_space_group_IT_number 1
_cell_length_a 3.9888
_cell_length_b 3.9888
_cell_length_c 3.9888
_cell_angle_alpha 90.00
_cell_angle_beta 90.00
_cell_angle_gamma 90.00
loop_
_space_group_symop_operation_xyz
'x,y,z'
loop_
_atom_site_label
_atom_site_fract_x
_atom_site_fract_y
_atom_site_fract_z
C1 0.0000 0.0000 0.0000
Fe1 0.0000 0.5000 0.0000
Fe2 0.0000 0.0000 0.5000
Fe3 0.5000 0.0000 0.0000
Th1 0.5000 0.5000 0.5000
```